1.
Here is AcTb3Ho3 after structural relaxation from Alexandria. Energies are from GGA-PBE.

## Properties
raw total energy: -0.3242 Ry per atom
size of the total moment: 0.00 μB/f.u.
space group: No. 160
density: 8.3 Mg/m³

a = 13.006 Å, b = 13.005 Å, c = 6.716 Å
α = 99.91°, β = 99.90°, γ = 117.11°
Fractional positions:
Ac (0.000, 0.816, 0.965)
Ac (0.184, 0.184, 0.149)
Ac (0.816, 0.000, 0.965)
Ac (0.000, 0.000, 0.565)
Tb (0.547, 0.751, 0.551)
Tb (0.453, 0.205, 0.005)
Tb (0.000, 0.448, 0.240)
Tb (0.260, 0.000, 0.525)
Tb (0.740, 0.740, 0.265)
Tb (0.796, 0.249, 0.800)
Tb (0.204, 0.453, 0.004)
Tb (0.448, 0.000, 0.240)
Tb (0.552, 0.552, 0.792)
Tb (0.000, 0.260, 0.525)
Tb (0.249, 0.795, 0.800)
Tb (0.751, 0.547, 0.551)
Ho (0.260, 0.731, 0.291)
Ho (0.740, 0.471, 0.030)
Ho (0.473, 0.473, 0.236)
Ho (0.527, 0.000, 0.763)
Ho (0.529, 0.269, 0.560)
Ho (0.471, 0.740, 0.030)
Ho (0.000, 0.707, 0.414)
Ho (0.269, 0.529, 0.559)
Ho (0.731, 0.260, 0.290)
Ho (0.293, 0.293, 0.706)
Ho (0.707, 0.000, 0.414)
Ho (0.000, 0.527, 0.763)

---

2.
Here is AcTb6Ho4 after structural relaxation from Alexandria. Energies are from GGA-PBE.

## Properties
raw total energy: -0.3051 Ry per atom
size of the total moment: 0.00 μB/f.u.
space group: No. 121
density: 7.8 Mg/m³

a = 7.803 Å, b = 7.803 Å, c = 8.469 Å
α = 117.43°, β = 117.43°, γ = 90.00°
Fractional positions:
Ac (0.500, 0.500, 0.000)
Tb (0.949, 0.433, 0.383)
Tb (0.433, 0.949, 0.383)
Tb (0.567, 0.567, 0.617)
Tb (0.000, 0.500, 0.000)
Tb (0.051, 0.051, 0.617)
Tb (0.500, 0.000, 0.000)
Ho (0.087, 0.764, 0.851)
Ho (0.913, 0.913, 0.149)
Ho (0.764, 0.087, 0.851)
Ho (0.236, 0.236, 0.149)